Run one
Computed, not measured: a geometry-optimized Nd2DyY structure at the PBE-GGA level of DFT.

## Properties
density of states at the Fermi level	1.387	states/eV/atom

a b c (Å): 3.6324 5.0685 7.2644
angles (deg): 90.00 90.00 90.00
Fractional positions:
1 Nd 0.0000 0.0000 0.2478
2 Nd 0.0000 0.0000 0.7522
3 Dy 0.5000 0.5000 0.0000
4 Y 0.5000 0.5000 0.5000

***

Run two
Computed, not measured: a geometry-optimized Nd2DyY structure at the PBE-GGA level of DFT.

## Properties
density of states at the Fermi level	1.808	states/eV/atom

a b c (Å): 5.8158 7.3735 6.3447
angles (deg): 90.00 90.00 90.00
Fractional positions:
1 Nd 0.2500 0.0001 0.1681
2 Nd 0.2500 0.4999 0.1681
3 Nd 0.7500 0.9999 0.8319
4 Nd 0.7500 0.5001 0.8319
5 Dy 0.2500 0.2500 0.6667
6 Dy 0.7500 0.7500 0.3333
7 Y 0.2500 0.7500 0.6637
8 Y 0.7500 0.2500 0.3363

***

Run three
Computed, not measured: a geometry-optimized Nd2DyY structure at the PBE-GGA level of DFT.

## Properties
density of states at the Fermi level	1.958	states/eV/atom

a b c (Å): 5.7593 5.7593 5.7593
angles (deg): 60.00 60.00 60.00
Fractional positions:
1 Nd 0.2500 0.2500 0.2500
2 Nd 0.7500 0.7500 0.7500
3 Dy 0.0000 0.0000 0.0000
4 Y 0.5000 0.5000 0.5000

***

Stability summary - winner: run one; margin: 9 meV per atom.